(1)
Density functional theory data (PBE-GGA) for a relaxed structure of Sr3Pb4Au2.

Cell and atoms, written as CIF:
```
data_Sr3Pb4Au2
_cell_length_a 6.634
_cell_length_b 6.634
_cell_length_c 10.056
_cell_angle_alpha 111.29
_cell_angle_beta 111.29
_cell_angle_gamma 43.93
_symmetry_space_group_name_H-M 'P 1'
_symmetry_Int_Tables_number 1
_symmetry_space_group_name_Hall 'P 1'
loop_
_atom_site_label
_atom_site_type_symbol
_atom_site_fract_x
_atom_site_fract_y
_atom_site_fract_z
Sr1 Sr 0.000 0.000 0.000
Sr2 Sr 0.319 0.319 0.367
Sr3 Sr 0.681 0.681 0.633
Pb1 Pb 0.026 0.026 0.356
Pb2 Pb 0.248 0.248 0.899
Pb3 Pb 0.752 0.752 0.101
Pb4 Pb 0.974 0.974 0.644
Au1 Au 0.393 0.393 0.728
Au2 Au 0.607 0.607 0.272
```

Values from the calculation:
DFT formation energy, eV/atom: -0.485
Magnetic moment, μB per cell: 0.00
Symmetry: C2/m
Uncorrected energy, eV per atom: -3.422
DOS at the Fermi energy, states/eV per cell: 5.8

---

(2)
Density functional theory data (PBE-GGA) for a relaxed structure of SrPbAu5.

Cell and atoms, written as CIF:
```
data_SrPbAu5
_cell_length_a 9.478
_cell_length_b 5.791
_cell_length_c 11.587
_cell_angle_alpha 90.00
_cell_angle_beta 90.00
_cell_angle_gamma 90.00
_symmetry_space_group_name_H-M 'P 1'
_symmetry_Int_Tables_number 1
_symmetry_space_group_name_Hall 'P 1'
loop_
_atom_site_label
_atom_site_type_symbol
_atom_site_fract_x
_atom_site_fract_y
_atom_site_fract_z
Sr1 Sr 0.248 0.250 0.057
Sr2 Sr 0.252 0.750 0.557
Sr3 Sr 0.748 0.250 0.443
Sr4 Sr 0.752 0.750 0.943
Pb1 Pb 0.136 0.750 0.854
Pb2 Pb 0.364 0.250 0.354
Pb3 Pb 0.636 0.750 0.646
Pb4 Pb 0.864 0.250 0.146
Au1 Au 0.072 0.750 0.090
Au2 Au 0.078 0.004 0.308
Au3 Au 0.078 0.496 0.308
Au4 Au 0.084 0.250 0.520
Au5 Au 0.174 0.250 0.756
Au6 Au 0.326 0.750 0.256
Au7 Au 0.416 0.750 0.020
Au8 Au 0.422 0.504 0.808
Au9 Au 0.422 0.996 0.808
Au10 Au 0.428 0.250 0.590
Au11 Au 0.572 0.750 0.410
Au12 Au 0.578 0.004 0.192
Au13 Au 0.578 0.496 0.192
Au14 Au 0.584 0.250 0.980
Au15 Au 0.674 0.250 0.744
Au16 Au 0.826 0.750 0.244
Au17 Au 0.916 0.750 0.480
Au18 Au 0.922 0.504 0.692
Au19 Au 0.922 0.996 0.692
Au20 Au 0.928 0.250 0.910
```

Values from the calculation:
DFT formation energy, eV/atom: -0.364
Magnetic moment, μB per cell: 0.00
Symmetry: Pnma
Uncorrected energy, eV per atom: -3.475
DOS at the Fermi energy, states/eV per cell: 9.4

---

(3)
Density functional theory data (PBE-GGA) for a relaxed structure of SrPbAu4.

Cell and atoms, written as CIF:
```
data_SrPbAu4
_cell_length_a 5.770
_cell_length_b 5.770
_cell_length_c 5.770
_cell_angle_alpha 60.00
_cell_angle_beta 60.00
_cell_angle_gamma 60.00
_symmetry_space_group_name_H-M 'P 1'
_symmetry_Int_Tables_number 1
_symmetry_space_group_name_Hall 'P 1'
loop_
_atom_site_label
_atom_site_type_symbol
_atom_site_fract_x
_atom_site_fract_y
_atom_site_fract_z
Sr1 Sr 0.000 0.000 0.000
Pb1 Pb 0.750 0.750 0.750
Au1 Au 0.375 0.375 0.375
Au2 Au 0.375 0.375 0.875
Au3 Au 0.375 0.875 0.375
Au4 Au 0.875 0.375 0.375
```

Values from the calculation:
DFT formation energy, eV/atom: -0.405
Magnetic moment, μB per cell: 0.00
Symmetry: F-43m
Uncorrected energy, eV per atom: -3.488
DOS at the Fermi energy, states/eV per cell: 1.5

---

DFT formation energy of number 1 (Sr3Pb4Au2)? -0.485 eV/atom

---

DFT formation energy of number 2 (SrPbAu5)? -0.364 eV/atom

---

The lowest uncorrected energy belongs to which entry? SrPbAu4

---

Number 1 is which compound? Sr3Pb4Au2